[1]
First-principles (PBE) data for a geometry-optimized LiInGe structure, as listed in Alexandria via LeMat-Bulk.

The value obtained for the magnetic moment is 0.00 Bohr magnetons per cell.

The space group is P2/m (No. 10) and the conventional cell measures 5.526, 2.989 and 7.770 Å, with angles of 90.00, 110.57 and 90.00 degrees. The inequivalent atoms are Li at (0.132, 0.000, 0.267), In at (0.320, 0.500, 0.636) and Ge at (0.252, 0.500, 0.000).

[2]
First-principles (PBE) data for a geometry-optimized LiInGe structure, as listed in Alexandria via LeMat-Bulk.

The value obtained for the magnetic moment is 0.00 Bohr magnetons per cell.

The space group is Cm (No. 8) and the conventional cell measures 7.783, 4.520 and 7.961 Å, with angles of 90.00, 109.10 and 90.00 degrees. The inequivalent atoms are Li at (0.000, 0.000, 0.000), Li at (0.143, 0.000, 0.423), In at (0.385, 0.500, 0.647), In at (0.386, 0.000, 0.154), Ge at (0.261, 0.500, 0.278) and Ge at (0.264, 0.000, 0.782).

[3]
First-principles (PBE) data for a geometry-optimized LiInGe structure, as listed in Alexandria via LeMat-Bulk.

The value obtained for the magnetic moment is 0.00 Bohr magnetons per cell.

The space group is P6_3/mmc (No. 194) and the conventional cell measures 4.9626, 4.9626 and 10.2539 Å, with angles of 90.00, 90.00 and 120.00 degrees. The inequivalent atoms are Li at (0.3333, 0.6667, 0.2500), In at (0.0000, 0.0000, 0.2500) and Ge at (0.0000, 0.0000, 0.0000).

[4]
First-principles (PBE) data for a geometry-optimized LiInGe structure, as listed in Alexandria via LeMat-Bulk.

The value obtained for the magnetic moment is 0.00 Bohr magnetons per cell.

The space group is Pmc2_1 (No. 26) and the conventional cell measures 3.035, 5.344 and 7.661 Å, with angles of 90.00, 90.00 and 90.00 degrees. The inequivalent atoms are Li at (0.000, 0.184, 0.000), In at (0.500, 0.326, 0.660) and Ge at (0.500, 0.178, 0.308).

[5]
First-principles (PBE) data for a geometry-optimized LiInGe structure, as listed in Alexandria via LeMat-Bulk.

The value obtained for the magnetic moment is 0.00 Bohr magnetons per cell.

The space group is Cmme (No. 67) and the conventional cell measures 6.040, 8.503 and 4.805 Å, with angles of 90.00, 90.00 and 90.00 degrees. The inequivalent atoms are Li at (0.250, 0.000, 0.000), In at (0.000, 0.000, 0.500) and Ge at (0.000, 0.250, 0.047).

[6]
First-principles (PBE) data for a geometry-optimized Li6In2Ge structure, as listed in Alexandria via LeMat-Bulk.

The energy relative to the lowest polymorph listed for this composition is 0.032 eV/atom. The value obtained for the magnetic moment is 0.00 Bohr magnetons per cell.

The space group is P-62m (No. 189) and the conventional cell measures 8.1567, 8.1567 and 2.8717 Å, with angles of 90.00, 90.00 and 120.00 degrees. The inequivalent atoms are Li at (0.0000, 0.2874, 0.0000), Li at (0.0000, 0.6561, 0.5000), In at (0.3333, 0.6667, 0.0000) and Ge at (0.0000, 0.0000, 0.5000).

[7]
First-principles (PBE) data for a geometry-optimized Li2InGe structure, as listed in Alexandria via LeMat-Bulk.

The value obtained for the magnetic moment is 0.00 Bohr magnetons per cell.

The space group is P4/mmm (No. 123) and the conventional cell measures 4.108, 4.108 and 4.277 Å, with angles of 90.00, 90.00 and 90.00 degrees. The inequivalent atoms are Li at (0.000, 0.500, 0.000), In at (0.000, 0.000, 0.500) and Ge at (0.500, 0.500, 0.500).

[8]
First-principles (PBE) data for a geometry-optimized LiInGe structure, as listed in Alexandria via LeMat-Bulk.

The value obtained for the magnetic moment is 0.00 Bohr magnetons per cell.

The space group is P4/nmm (No. 129, origin choice 2) and the conventional cell measures 4.466, 4.466 and 6.833 Å, with angles of 90.00, 90.00 and 90.00 degrees. The inequivalent atoms are Li at (0.250, 0.250, 0.154), In at (0.250, 0.750, 0.500) and Ge at (0.250, 0.250, 0.766).

[9]
First-principles (PBE) data for a geometry-optimized LiInGe structure, as listed in Alexandria via LeMat-Bulk.

The value obtained for the magnetic moment is 0.00 Bohr magnetons per cell.

The space group is P-1 (No. 2) and the conventional cell measures 4.489, 5.402 and 5.952 Å, with angles of 75.20, 72.79 and 73.02 degrees. The inequivalent atoms are Li at (0.141, 0.176, 0.133), In at (0.335, 0.251, 0.581) and Ge at (0.314, 0.636, 0.155).

[10]
First-principles (PBE) data for a geometry-optimized Li3InGe structure, as listed in Alexandria via LeMat-Bulk.

The energy relative to the lowest polymorph listed for this composition is 0.097 eV/atom. The value obtained for the magnetic moment is 0.00 Bohr magnetons per cell.

The space group is R3c (No. 161, hexagonal axes) and the conventional cell measures 7.2147, 7.2147 and 14.0915 Å, with angles of 90.00, 90.00 and 120.00 degrees. The inequivalent atoms are Li at (0.0648, 0.4749, 0.0000), In at (0.0000, 0.0000, 0.0112) and Ge at (0.0000, 0.0000, 0.1975).

[11]
First-principles (PBE) data for a geometry-optimized LiInGe structure, as listed in Alexandria via LeMat-Bulk.

The value obtained for the magnetic moment is 0.00 Bohr magnetons per cell.

The space group is Pmmm (No. 47) and the conventional cell measures 3.076, 4.218 and 4.710 Å, with angles of 90.00, 90.00 and 90.00 degrees. The inequivalent atoms are Li at (0.000, 0.000, 0.000), In at (0.500, 0.000, 0.500) and Ge at (0.500, 0.500, 0.000).

[12]
First-principles (PBE) data for a geometry-optimized LiInGe structure, as listed in Alexandria via LeMat-Bulk.

The value obtained for the magnetic moment is 0.00 Bohr magnetons per cell.

The space group is C2/c (No. 15) and the conventional cell measures 8.002, 7.381 and 5.557 Å, with angles of 90.00, 132.66 and 90.00 degrees. The inequivalent atoms are Li at (0.250, 0.250, 0.000), In at (0.000, 0.126, 0.250) and Ge at (0.000, 0.500, 0.000).

[13]
First-principles (PBE) data for a geometry-optimized Li8InGe2 structure, as listed in Alexandria via LeMat-Bulk.

The value obtained for the magnetic moment is 0.00 Bohr magnetons per cell.

The space group is C2/m (No. 12) and the conventional cell measures 13.673, 4.405 and 7.114 Å, with angles of 90.00, 119.43 and 90.00 degrees. The inequivalent atoms are Li at (0.028, 0.000, 0.217), Li at (0.124, 0.500, 0.956), Li at (0.160, 0.000, 0.735), Li at (0.179, 0.500, 0.390), In at (0.000, 0.500, 0.500) and Ge at (0.212, 0.000, 0.178).

[14]
First-principles (PBE) data for a geometry-optimized LiInGe structure, as listed in Alexandria via LeMat-Bulk.

The value obtained for the magnetic moment is 0.00 Bohr magnetons per cell.

The space group is C2/m (No. 12) and the conventional cell measures 11.518, 4.230 and 5.899 Å, with angles of 90.00, 120.69 and 90.00 degrees. The inequivalent atoms are Li at (0.000, 0.000, 0.235), In at (0.176, 0.500, 0.676) and Ge at (0.131, 0.500, 0.131).

[15]
First-principles (PBE) data for a geometry-optimized Li3InGe structure, as listed in Alexandria via LeMat-Bulk.

The energy relative to the lowest polymorph listed for this composition is 0.229 eV/atom. The value obtained for the magnetic moment is 0.00 Bohr magnetons per cell.

The space group is Pm-3m (No. 221) and the conventional cell measures 4.849, 4.849 and 4.849 Å, with angles of 90.00, 90.00 and 90.00 degrees. The inequivalent atoms are Li at (0.000, 0.000, 0.500), In at (0.500, 0.500, 0.500) and Ge at (0.000, 0.000, 0.000).

[16]
First-principles (PBE) data for a geometry-optimized LiInGe structure, as listed in Alexandria via LeMat-Bulk.

The value obtained for the magnetic moment is 0.00 Bohr magnetons per cell.

The space group is Pmm2 (No. 25) and the conventional cell measures 3.891, 4.336 and 7.484 Å, with angles of 90.00, 90.00 and 90.00 degrees. The inequivalent atoms are Li at (0.000, 0.000, 0.000), Li at (0.000, 0.500, 0.411), In at (0.500, 0.500, 0.132), In at (0.500, 0.500, 0.739), Ge at (0.000, 0.000, 0.625) and Ge at (0.500, 0.000, 0.377).

[17]
First-principles (PBE) data for a geometry-optimized LiInGe structure, as listed in Alexandria via LeMat-Bulk.

The value obtained for the magnetic moment is 0.00 Bohr magnetons per cell.

The space group is P4_122 (No. 91) and the conventional cell measures 5.281, 5.281 and 8.772 Å, with angles of 90.00, 90.00 and 90.00 degrees. The inequivalent atoms are Li at (0.000, 0.270, 0.000), In at (0.238, 0.238, 0.375) and Ge at (0.269, 0.500, 0.750).

[18]
First-principles (PBE) data for a geometry-optimized Li3InGe structure, as listed in Alexandria via LeMat-Bulk.

The energy relative to the lowest polymorph listed for this composition is 0.000 eV/atom. The value obtained for the magnetic moment is 0.00 Bohr magnetons per cell.

The space group is P-1 (No. 2) and the conventional cell measures 5.050, 5.534 and 7.436 Å, with angles of 111.05, 109.05 and 91.66 degrees. The inequivalent atoms are Li at (0.115, 0.260, 0.481), Li at (0.137, 0.768, 0.918), Li at (0.292, 0.252, 0.908), In at (0.287, 0.690, 0.301) and Ge at (0.492, 0.178, 0.272).

[19]
First-principles (PBE) data for a geometry-optimized LiInGe structure, as listed in Alexandria via LeMat-Bulk.

The value obtained for the magnetic moment is 0.00 Bohr magnetons per cell.

The space group is Pnma (No. 62) and the conventional cell measures 7.086, 4.395 and 8.419 Å, with angles of 90.00, 90.00 and 90.00 degrees. The inequivalent atoms are Li at (0.001, 0.250, 0.148), In at (0.155, 0.250, 0.591) and Ge at (0.243, 0.750, 0.406).

[20]
First-principles (PBE) data for a geometry-optimized LiInGe structure, as listed in Alexandria via LeMat-Bulk.

The value obtained for the magnetic moment is 0.00 Bohr magnetons per cell.

The space group is Imm2 (No. 44) and the conventional cell measures 3.300, 4.041 and 9.156 Å, with angles of 90.00, 90.00 and 90.00 degrees. The inequivalent atoms are Li at (0.000, 0.000, 0.000), In at (0.000, 0.000, 0.322) and Ge at (0.000, 0.000, 0.657).

Number 1: volume 20.03 A^3/atom, calculated formation energy -0.0917 eV per atom. Number 2: volume 22.05 A^3/atom, calculated formation energy -0.1619 eV per atom. Number 3: volume 36.45 A^3/atom, calculated formation energy 0.6767 eV per atom. Number 4: volume 20.71 A^3/atom, calculated formation energy -0.0639 eV per atom. Number 5: volume 20.56 A^3/atom, calculated formation energy 0.0032 eV per atom. Number 6: volume 18.39 A^3/atom, calculated formation energy -0.2465 eV per atom. Number 7: volume 18.05 A^3/atom, calculated formation energy -0.2552 eV per atom. Number 8: volume 22.72 A^3/atom, calculated formation energy -0.0694 eV per atom. Number 9: volume 21.60 A^3/atom, calculated formation energy -0.1385 eV per atom. Number 10: volume 21.17 A^3/atom, calculated formation energy -0.1432 eV per atom. Number 11: volume 20.37 A^3/atom, calculated formation energy 0.0004 eV per atom. Number 12: volume 20.11 A^3/atom, calculated formation energy -0.0748 eV per atom. Number 13: volume 16.96 A^3/atom, calculated formation energy -0.2623 eV per atom. Number 14: volume 20.60 A^3/atom, calculated formation energy -0.1037 eV per atom. Number 15: volume 22.80 A^3/atom, calculated formation energy -0.0108 eV per atom. Number 16: volume 21.04 A^3/atom, calculated formation energy -0.0774 eV per atom. Number 17: volume 20.39 A^3/atom, calculated formation energy -0.0651 eV per atom. Number 18: volume 18.08 A^3/atom, calculated formation energy -0.2397 eV per atom. Number 19: volume 21.85 A^3/atom, calculated formation energy -0.0978 eV per atom. Number 20: volume 20.35 A^3/atom, calculated formation energy -0.0627 eV per atom.